Record 1
VASP calculation (GGA-PBE) on an optimized crystal structure of Na3Pu2ZnSe6. Values from VASP.

Summary:
DOS(E_F), states/eV/f.u.: 19.38
Electronic total energy, eV/atom: -5.719
Raw formation energy, meV/atom: -1152

```
&SYSTEM
  ibrav = 0, nat = 12, ntyp = 4
/
ATOMIC_SPECIES
Na 22.99 Na.upf
Pu 244.00 Pu.upf
Zn 65.41 Zn.upf
Se 78.96 Se.upf
CELL_PARAMETERS angstrom
7.094 -0.003 0.002
-3.548 6.143 0.002
-1.181 -2.045 6.955
ATOMIC_POSITIONS crystal
Na 0.167 0.833 0.500
Na 0.833 0.167 0.500
Na 0.500 0.500 0.500
Pu 0.333 0.667 0.000
Pu 0.667 0.333 0.000
Zn 0.000 0.000 0.000
Se 0.925 0.601 0.776
Se 0.751 0.751 0.223
Se 0.075 0.399 0.224
Se 0.601 0.925 0.776
Se 0.249 0.249 0.777
Se 0.399 0.075 0.224
```

Record 2
VASP calculation (GGA-PBE) on an optimized crystal structure of Na3Pu3ZnSe8. Values from VASP.

Summary:
DOS(E_F), states/eV/f.u.: 26.81
Electronic total energy, eV/atom: -6.233
Raw formation energy, meV/atom: -1159

```
&SYSTEM
  ibrav = 0, nat = 15, ntyp = 4
/
ATOMIC_SPECIES
Na 22.99 Na.upf
Pu 244.00 Pu.upf
Zn 65.41 Zn.upf
Se 78.96 Se.upf
CELL_PARAMETERS angstrom
-0.989 7.062 4.015
-5.951 -2.752 -4.967
1.429 -3.962 7.322
ATOMIC_POSITIONS crystal
Na 0.000 0.000 0.000
Na 0.000 0.500 0.000
Na 0.500 0.500 0.000
Pu 0.500 0.000 0.500
Pu 0.500 0.500 0.500
Pu 0.000 0.500 0.500
Zn 0.000 0.000 0.500
Se 0.257 0.513 0.269
Se 0.743 0.487 0.731
Se 0.757 0.514 0.277
Se 0.243 0.486 0.723
Se 0.770 0.017 0.286
Se 0.230 0.983 0.714
Se 0.247 0.017 0.286
Se 0.753 0.983 0.714
```